[1]
The following is a PBE-GGA calculation of crystalline TmThCl at its relaxed geometry, from Alexandria via LeMat-Bulk.

Values from the calculation:
Raw total energy: -5.29 eV/atom

Geometry as POSCAR:
```
TmThCl
1.0
-1.120 -5.251 -3.268
4.154 -2.926 -3.700
2.293 -4.829 2.000
Cl Th Tm
2 2 2
Cartesian
2.145 -5.377 -2.753
0.845 -2.266 -1.881
3.647 -9.392 -6.033
4.671 -11.257 -3.570
1.936 -4.429 -0.203
3.347 -8.043 -2.431
```


[2]
The following is a PBE-GGA calculation of crystalline Tm2ThCl at its relaxed geometry, from Alexandria via LeMat-Bulk.

Values from the calculation:
Raw total energy: -5.20 eV/atom

Geometry as POSCAR:
```
Tm2ThCl
1.0
3.592 0.000 0.000
1.796 3.110 0.000
1.796 1.037 9.746
Tm Cl Th
2 1 1
Cartesian
1.796 1.037 2.154
5.387 3.110 7.592
0.000 0.000 0.000
3.592 2.074 4.873
```


[3]
The following is a PBE-GGA calculation of crystalline ThUCl at its relaxed geometry, from Alexandria via LeMat-Bulk.

Values from the calculation:
Raw total energy: -7.01 eV/atom

Geometry as POSCAR:
```
ThUCl
1.0
7.059 0.226 0.432
-2.392 7.613 -0.474
2.274 3.104 5.938
U Th Cl
4 4 4
Cartesian
1.714 2.900 0.306
2.668 5.111 -0.021
2.851 3.235 3.911
1.413 9.319 5.066
2.510 6.691 3.885
5.896 3.665 5.617
6.039 8.745 3.086
4.759 4.055 1.633
7.245 3.814 3.110
4.247 6.977 1.643
0.717 6.515 1.610
6.108 1.912 0.324
```


[4]
The following is a PBE-GGA calculation of crystalline ThWCl at its relaxed geometry, from Alexandria via LeMat-Bulk.

Values from the calculation:
Raw total energy: -7.83 eV/atom

Geometry as POSCAR:
```
ThWCl
1.0
-3.856 2.891 -0.173
-5.093 1.457 3.305
10.861 2.856 0.524
Cl Th W
2 2 2
Cartesian
4.591 5.001 0.805
1.355 4.769 1.815
-1.269 3.727 2.706
-7.229 3.549 2.773
-4.231 3.354 1.503
0.767 2.435 0.642
```


[5]
The following is a PBE-GGA calculation of crystalline ThZnCl at its relaxed geometry, from Alexandria via LeMat-Bulk.

Values from the calculation:
Raw total energy: -4.34 eV/atom

Geometry as POSCAR:
```
ThZnCl
1.0
-1.177 2.211 3.740
-2.305 -3.229 1.184
8.302 -4.900 2.801
Cl Zn Th
2 2 2
Cartesian
2.625 -3.747 5.750
2.195 -2.171 1.974
-0.657 0.049 2.473
5.477 -5.966 5.251
5.297 -2.880 6.079
-0.477 -3.037 1.645
```


[6]
The following is a PBE-GGA calculation of crystalline TiCl2 at its relaxed geometry, from Alexandria via LeMat-Bulk.

Values from the calculation:
Raw total energy: -5.27 eV/atom

Geometry as POSCAR:
```
TiCl2
1.0
-0.375 -3.205 0.872
2.725 1.684 0.955
-3.272 1.976 5.854
Ti Cl
1 2
Cartesian
0.000 0.000 0.000
-1.881 -0.042 5.443
0.959 0.497 2.238
```


[7]
The following is a PBE-GGA calculation of crystalline TiCl2 at its relaxed geometry, from Alexandria via LeMat-Bulk.

Values from the calculation:
Raw total energy: -5.37 eV/atom

Geometry as POSCAR:
```
TiCl2
1.0
3.163 0.000 -0.711
-0.264 5.789 -1.173
-0.010 0.044 7.350
Cl Ti
4 2
Cartesian
1.054 0.785 4.691
0.298 2.060 1.327
1.836 5.048 0.775
2.592 3.774 4.139
2.282 1.783 2.760
0.608 4.051 2.706
```


[8]
The following is a PBE-GGA calculation of crystalline Ti2Cl13 at its relaxed geometry, from Alexandria via LeMat-Bulk.

Values from the calculation:
Raw total energy: -3.65 eV/atom

Geometry as POSCAR:
```
Ti2Cl13
1.0
-4.122 -5.385 2.133
3.774 -5.955 0.409
1.680 11.531 10.703
Ti Cl
2 13
Cartesian
-3.085 -2.114 5.579
4.418 2.305 7.666
-1.631 -3.471 4.684
3.562 0.304 7.532
-2.229 -0.112 5.713
-0.366 -6.242 2.062
-0.623 -1.303 1.680
1.956 1.494 11.565
-1.667 2.804 10.625
2.965 3.663 8.561
0.000 0.000 0.000
0.811 -2.372 7.797
1.699 6.434 11.183
0.522 2.563 5.448
3.000 -2.613 2.620
```


Summary of energy relative to the elements, uncorrected in eV/atom
-0.72 -0.65 -0.16 -0.43 -0.82 -1.41 -1.51 -1.00
(order as listed above)